Sc2Sn2BRh4 | GGA-PBE | relaxed

Cell lengths 5.896, 5.896, 5.896 Å; angles 91.62, 119.07, 119.07 degrees
Fractional coordinates of all 9 atoms:
1 Sn 0.500 0.250 0.750
2 Sn 0.500 0.750 0.250
3 Rh 0.490 0.245 0.245
4 Rh 0.510 0.755 0.755
5 Rh 0.000 0.245 0.755
6 Rh 0.000 0.755 0.245
7 B 0.000 0.000 0.000
8 Sc 0.000 0.292 0.292
9 Sc 0.000 0.708 0.708

**Energy relative to the elements**: -0.615 eV/atom
**Symmetry**: No. 139

ScTcBRh2 | GGA-PBE | relaxed

Cell lengths 4.101, 4.101, 4.232 Å; angles 90.00, 90.00, 90.00 degrees
Fractional coordinates of all 5 atoms:
1 Rh 0.000 0.500 0.000
2 Rh 0.500 0.000 0.000
3 Tc 0.000 0.000 0.500
4 Sc 0.500 0.500 0.500
5 B 0.000 0.000 0.000

**Energy relative to the elements**: -0.480 eV/atom
**Symmetry**: No. 123

Th4ScB3Rh12 | GGA-PBE | relaxed

Cell lengths 7.592, 7.592, 7.592 Å; angles 109.47, 109.47, 109.47 degrees
Fractional coordinates of all 20 atoms:
1 B 0.500 0.500 0.000
2 B 0.000 0.500 0.500
3 B 0.500 0.000 0.500
4 Rh 0.000 0.275 0.275
5 Rh 0.750 0.250 0.500
6 Rh 0.000 0.725 0.725
7 Rh 0.250 0.500 0.750
8 Rh 0.725 0.000 0.725
9 Rh 0.750 0.500 0.250
10 Rh 0.275 0.275 0.000
11 Rh 0.275 0.000 0.275
12 Rh 0.500 0.750 0.250
13 Rh 0.725 0.725 0.000
14 Rh 0.250 0.750 0.500
15 Rh 0.500 0.250 0.750
16 Sc 0.000 0.000 0.000
17 Th 0.000 0.500 0.000
18 Th 0.500 0.500 0.500
19 Th 0.000 0.000 0.500
20 Th 0.500 0.000 0.000

**Energy relative to the elements**: -0.733 eV/atom
**Symmetry**: No. 229

ThScB8Rh8 | GGA-PBE | relaxed

Cell lengths 5.339, 5.339, 7.493 Å; angles 90.00, 90.00, 90.00 degrees
Fractional coordinates of all 18 atoms:
1 Rh 0.000 0.749 0.142
2 Rh 0.748 0.500 0.653
3 Rh 0.000 0.251 0.142
4 Rh 0.252 0.500 0.653
5 Rh 0.251 0.000 0.858
6 Rh 0.500 0.748 0.347
7 Rh 0.500 0.252 0.347
8 Rh 0.749 0.000 0.858
9 B 0.500 0.833 0.649
10 B 0.669 0.000 0.147
11 B 0.500 0.167 0.649
12 B 0.331 0.000 0.147
13 B 0.000 0.331 0.853
14 B 0.833 0.500 0.351
15 B 0.000 0.669 0.853
16 B 0.167 0.500 0.351
17 Sc 0.500 0.500 0.000
18 Th 0.000 0.000 0.500

**Energy relative to the elements**: -0.558 eV/atom
**Symmetry**: No. 115

Sc2TiB2Rh5 | GGA-PBE | relaxed

Cell lengths 3.131, 9.339, 9.339 Å; angles 90.00, 90.00, 90.00 degrees
Fractional coordinates of all 20 atoms:
1 Rh 0.500 0.000 0.500
2 Rh 0.500 0.929 0.217
3 Rh 0.500 0.571 0.717
4 Rh 0.500 0.783 0.929
5 Rh 0.500 0.717 0.429
6 Rh 0.500 0.071 0.783
7 Rh 0.500 0.429 0.283
8 Rh 0.500 0.217 0.071
9 Rh 0.500 0.283 0.571
10 Rh 0.500 0.500 0.000
11 Sc 0.000 0.326 0.826
12 Sc 0.000 0.674 0.174
13 Sc 0.000 0.826 0.674
14 Sc 0.000 0.174 0.326
15 B 0.000 0.123 0.623
16 B 0.000 0.623 0.877
17 B 0.000 0.377 0.123
18 B 0.000 0.877 0.377
19 Ti 0.000 0.000 0.000
20 Ti 0.000 0.500 0.500

**Energy relative to the elements**: -0.875 eV/atom
**Symmetry**: No. 127

Sc2TlB2Rh5 | GGA-PBE | relaxed

Cell lengths 3.169, 9.521, 9.521 Å; angles 90.00, 90.00, 90.00 degrees
Fractional coordinates of all 20 atoms:
1 Rh 0.500 0.726 0.428
2 Rh 0.500 0.274 0.572
3 Rh 0.500 0.500 0.000
4 Rh 0.500 0.774 0.928
5 Rh 0.500 0.000 0.500
6 Rh 0.500 0.928 0.226
7 Rh 0.500 0.428 0.274
8 Rh 0.500 0.572 0.726
9 Rh 0.500 0.226 0.072
10 Rh 0.500 0.072 0.774
11 B 0.000 0.378 0.122
12 B 0.000 0.122 0.622
13 B 0.000 0.622 0.878
14 B 0.000 0.878 0.378
15 Sc 0.000 0.826 0.674
16 Sc 0.000 0.174 0.326
17 Sc 0.000 0.326 0.826
18 Sc 0.000 0.674 0.174
19 Tl 0.000 0.500 0.500
20 Tl 0.000 0.000 0.000

**Energy relative to the elements**: -0.705 eV/atom
**Symmetry**: No. 127

TmSc2B2Rh5 | GGA-PBE | relaxed

Cell lengths 3.168, 9.599, 9.599 Å; angles 90.00, 90.00, 90.00 degrees
Fractional coordinates of all 20 atoms:
1 Sc 0.000 0.674 0.174
2 Sc 0.000 0.174 0.326
3 Sc 0.000 0.826 0.674
4 Sc 0.000 0.326 0.826
5 B 0.000 0.377 0.123
6 B 0.000 0.123 0.623
7 B 0.000 0.623 0.877
8 B 0.000 0.877 0.377
9 Rh 0.500 0.500 0.000
10 Rh 0.500 0.273 0.572
11 Rh 0.500 0.000 0.500
12 Rh 0.500 0.428 0.273
13 Rh 0.500 0.928 0.227
14 Rh 0.500 0.773 0.928
15 Rh 0.500 0.727 0.428
16 Rh 0.500 0.072 0.773
17 Rh 0.500 0.227 0.072
18 Rh 0.500 0.572 0.727
19 Tm 0.000 0.500 0.500
20 Tm 0.000 0.000 0.000

**Energy relative to the elements**: -0.834 eV/atom
**Symmetry**: No. 127

Tm2ScB2Rh5 | GGA-PBE | relaxed

Cell lengths 3.185, 9.644, 9.644 Å; angles 90.00, 90.00, 90.00 degrees
Fractional coordinates of all 20 atoms:
1 Rh 0.500 0.429 0.275
2 Rh 0.500 0.725 0.429
3 Rh 0.500 0.275 0.571
4 Rh 0.500 0.500 0.000
5 Rh 0.500 0.000 0.500
6 Rh 0.500 0.775 0.929
7 Rh 0.500 0.225 0.071
8 Rh 0.500 0.571 0.725
9 Rh 0.500 0.071 0.775
10 Rh 0.500 0.929 0.225
11 Tm 0.000 0.675 0.175
12 Tm 0.000 0.325 0.825
13 Tm 0.000 0.825 0.675
14 Tm 0.000 0.175 0.325
15 B 0.000 0.877 0.377
16 B 0.000 0.623 0.877
17 B 0.000 0.377 0.123
18 B 0.000 0.123 0.623
19 Sc 0.000 0.500 0.500
20 Sc 0.000 0.000 0.000

**Energy relative to the elements**: -0.890 eV/atom
**Symmetry**: No. 127

Sc2VB2Rh5 | GGA-PBE | relaxed

Cell lengths 3.093, 9.337, 9.337 Å; angles 90.00, 90.00, 90.00 degrees
Fractional coordinates of all 20 atoms:
1 Sc 0.000 0.675 0.175
2 Sc 0.000 0.325 0.825
3 Sc 0.000 0.825 0.675
4 Sc 0.000 0.175 0.325
5 B 0.000 0.124 0.624
6 B 0.000 0.376 0.124
7 B 0.000 0.876 0.376
8 B 0.000 0.624 0.876
9 Rh 0.500 0.071 0.783
10 Rh 0.500 0.000 0.500
11 Rh 0.500 0.500 0.000
12 Rh 0.500 0.217 0.071
13 Rh 0.500 0.429 0.283
14 Rh 0.500 0.571 0.717
15 Rh 0.500 0.783 0.929
16 Rh 0.500 0.929 0.217
17 Rh 0.500 0.283 0.571
18 Rh 0.500 0.717 0.429
19 V 0.000 0.500 0.500
20 V 0.000 0.000 0.000

**Energy relative to the elements**: -0.749 eV/atom
**Symmetry**: No. 127

YScB2Rh | GGA-PBE | relaxed

Cell lengths 4.206, 4.788, 4.206 Å; angles 90.00, 90.00, 90.00 degrees
Fractional coordinates of all 5 atoms:
1 Rh 0.000 0.000 0.000
2 Sc 0.000 0.500 0.000
3 B 0.000 0.000 0.500
4 B 0.500 0.000 0.000
5 Y 0.500 0.500 0.500

**Energy relative to the elements**: 0.356 eV/atom
**Symmetry**: No. 123

BRh3Se | GGA-PBE | relaxed

Cell lengths 4.152, 4.152, 4.152 Å; angles 90.00, 90.00, 90.00 degrees
Fractional coordinates of all 5 atoms:
1 Se 0.500 0.500 0.500
2 B 0.000 0.000 0.000
3 Rh 0.500 0.000 0.000
4 Rh 0.000 0.500 0.000
5 Rh 0.000 0.000 0.500

**Formation energy from raw total energies**: 0.1382 eV/atom
**Symmetry**: No. 221

BRh3Se | GGA-PBE | relaxed

Cell lengths 4.552, 4.552, 4.552 Å; angles 90.00, 90.00, 90.00 degrees
Fractional coordinates of all 5 atoms:
1 Rh 0.000 0.000 0.500
2 Rh 0.000 0.500 0.000
3 Rh 0.500 0.000 0.000
4 Se 0.000 0.000 0.000
5 B 0.500 0.500 0.500

**Formation energy from raw total energies**: 1.4395 eV/atom
**Symmetry**: No. 221

BRh2Se | GGA-PBE | relaxed

Cell lengths 4.199, 4.199, 4.199 Å; angles 60.00, 60.00, 60.00 degrees
Fractional coordinates of all 4 atoms:
1 Rh 0.750 0.750 0.750
2 Rh 0.250 0.250 0.250
3 B 0.000 0.000 0.000
4 Se 0.500 0.500 0.500

**Formation energy from raw total energies**: 0.4659 eV/atom
**Symmetry**: No. 225

BRhSe2 | GGA-PBE | relaxed

Cell lengths 6.593, 6.593, 6.593 Å; angles 34.55, 34.55, 34.55 degrees
Fractional coordinates of all 4 atoms:
1 Se 0.900 0.900 0.900
2 Se 0.100 0.100 0.100
3 Rh 0.500 0.500 0.500
4 B 0.000 0.000 0.000

**Formation energy from raw total energies**: 0.3128 eV/atom
**Symmetry**: No. 166

BRhSe2 | GGA-PBE | relaxed

Cell lengths 7.543, 7.543, 7.543 Å; angles 24.26, 24.26, 24.26 degrees
Fractional coordinates of all 4 atoms:
1 Se 0.108 0.108 0.108
2 Se 0.892 0.892 0.892
3 Rh 0.000 0.000 0.000
4 B 0.500 0.500 0.500

**Formation energy from raw total energies**: 0.4590 eV/atom
**Symmetry**: No. 166

BRhSe3 | GGA-PBE | relaxed

Cell lengths 4.371, 4.371, 4.371 Å; angles 90.00, 90.00, 90.00 degrees
Fractional coordinates of all 5 atoms:
1 Rh 0.500 0.500 0.500
2 Se 0.000 0.500 0.000
3 Se 0.500 0.000 0.000
4 Se 0.000 0.000 0.500
5 B 0.000 0.000 0.000

**Formation energy from raw total energies**: 0.8340 eV/atom
**Symmetry**: No. 221

B2RhSe6 | GGA-PBE | relaxed

Cell lengths 6.286, 7.708, 7.708 Å; angles 80.47, 80.13, 80.13 degrees
Fractional coordinates of all 18 atoms:
1 Se 0.127 0.423 0.269
2 Se 0.639 0.990 0.801
3 Se 0.139 0.801 0.990
4 Se 0.667 0.591 0.096
5 Se 0.373 0.731 0.577
6 Se 0.333 0.409 0.904
7 Se 0.627 0.269 0.423
8 Se 0.833 0.904 0.409
9 Se 0.861 0.199 0.010
10 Se 0.873 0.577 0.731
11 Se 0.167 0.096 0.591
12 Se 0.361 0.010 0.199
13 B 0.157 0.644 0.795
14 B 0.843 0.356 0.205
15 B 0.657 0.795 0.644
16 B 0.343 0.205 0.356
17 Rh 0.250 0.109 0.891
18 Rh 0.750 0.891 0.109

**Formation energy from raw total energies**: -0.0875 eV/atom
**Symmetry**: No. 15

BRhSe3 | GGA-PBE | relaxed

Cell lengths 4.889, 4.889, 4.889 Å; angles 90.00, 90.00, 90.00 degrees
Fractional coordinates of all 5 atoms:
1 Se 0.000 0.500 0.000
2 Se 0.000 0.000 0.500
3 Se 0.500 0.000 0.000
4 B 0.500 0.500 0.500
5 Rh 0.000 0.000 0.000

**Formation energy from raw total energies**: 1.2390 eV/atom
**Symmetry**: No. 221

B3RhSe | GGA-PBE | relaxed

Cell lengths 4.026, 4.026, 4.026 Å; angles 90.00, 90.00, 90.00 degrees
Fractional coordinates of all 5 atoms:
1 Se 0.000 0.000 0.000
2 B 0.000 0.000 0.500
3 B 0.500 0.000 0.000
4 B 0.000 0.500 0.000
5 Rh 0.500 0.500 0.500

**Formation energy from raw total energies**: 2.0657 eV/atom
**Symmetry**: No. 221

BRh2Se | GGA-PBE | relaxed

Cell lengths 5.004, 5.004, 6.332 Å; angles 66.73, 66.73, 90.00 degrees
Fractional coordinates of all 8 atoms:
1 Rh 0.375 0.446 0.750
2 Rh 0.554 0.125 0.250
3 Rh 0.875 0.804 0.750
4 Rh 0.196 0.625 0.250
5 B 0.250 0.750 0.500
6 B 0.500 0.500 0.000
7 Se 0.000 0.000 0.000
8 Se 0.750 0.250 0.500

**Formation energy from raw total energies**: -0.0776 eV/atom
**Symmetry**: No. 122